1.
Entry from Alexandria via LeMat-Bulk: a geometry-optimized In3GaBi3 structure (GGA-PBE).

DFT total energy ... -41.334 eV per cell
Formation energy ... 2.2 eV per formula unit

Geometry as CIF:
```
data_In3GaBi3
_cell_length_a 8.408
_cell_length_b 8.408
_cell_length_c 8.408
_cell_angle_alpha 90.00
_cell_angle_beta 90.00
_cell_angle_gamma 90.00
_space_group_name_H-M_alt 'P m -3 n'
_space_group_IT_number 223
_space_group_name_Hall '-P 4n 2 3'
loop_
_atom_site_label
_atom_site_fract_x
_atom_site_fract_y
_atom_site_fract_z
_atom_site_occupancy
In1 0.000 0.250 0.500 1
Ga1 0.000 0.000 0.000 1
Bi1 0.000 0.500 0.250 1
```



2.
Entry from Alexandria via LeMat-Bulk: a geometry-optimized MnSb2Cl structure (GGA-PBE).

Polymorph energy (0 for the lowest one) ... 169.8 meV/atom
Formation energy from raw total energies ... -31 meV/atom
DFT total energy ... -38.768 eV per cell

Geometry as CIF:
```
data_MnSb2Cl
_cell_length_a 3.569
_cell_length_b 5.649
_cell_length_c 10.220
_cell_angle_alpha 90.00
_cell_angle_beta 90.00
_cell_angle_gamma 90.00
_space_group_name_H-M_alt 'C m m 2'
_space_group_IT_number 35
loop_
_space_group_symop_operation_xyz
'x,y,z'
'-x,-y,z'
'-x,y,z'
'x,-y,z'
'x+1/2,y+1/2,z'
'-x+1/2,-y+1/2,z'
'-x+1/2,y+1/2,z'
'x+1/2,-y+1/2,z'
loop_
_atom_site_label
_atom_site_fract_x
_atom_site_fract_y
_atom_site_fract_z
_atom_site_occupancy
Mn1 0.000 0.000 0.000 1
Sb1 0.000 0.000 0.523 1
Sb2 0.000 0.500 0.793 1
Cl1 0.000 0.500 0.156 1
```



3.
Entry from Alexandria via LeMat-Bulk: a geometry-optimized ThCu2Ag structure (GGA-PBE).

Polymorph energy (0 for the lowest one) ... 0.0 meV/atom
DFT total energy ... -75.544 eV per cell
Formation energy ... -0.4 eV per formula unit

Geometry as CIF:
```
data_ThCu2Ag
_cell_length_a 4.521
_cell_length_b 10.419
_cell_length_c 6.475
_cell_angle_alpha 90.00
_cell_angle_beta 90.00
_cell_angle_gamma 90.00
_space_group_name_H-M_alt 'C m c m'
_space_group_IT_number 63
_space_group_name_Hall '-C 2c 2'
loop_
_atom_site_label
_atom_site_fract_x
_atom_site_fract_y
_atom_site_fract_z
_atom_site_occupancy
Th1 0.000 0.095 0.250 1
Cu1 0.000 0.386 0.060 1
Ag1 0.000 0.202 0.750 1
```



4.
Entry from Alexandria via LeMat-Bulk: a geometry-optimized PmVGe structure (GGA-PBE).

Polymorph energy (0 for the lowest one) ... 5.0 meV/atom
DFT total energy ... -19.187 eV per cell
Formation energy ... -0.7 eV per formula unit

Geometry as CIF:
```
data_PmVGe
_cell_length_a 4.3947
_cell_length_b 4.3947
_cell_length_c 3.9704
_cell_angle_alpha 90.00
_cell_angle_beta 90.00
_cell_angle_gamma 120.00
_space_group_name_H-M_alt 'P -6 m 2'
_space_group_IT_number 187
_space_group_name_Hall 'P -6 2'
loop_
_atom_site_label
_atom_site_fract_x
_atom_site_fract_y
_atom_site_fract_z
_atom_site_occupancy
Pm1 0.0000 0.0000 0.0000 1
V1 0.6667 0.3333 0.5000 1
Ge1 0.3333 0.6667 0.5000 1
```



5.
Entry from Alexandria via LeMat-Bulk: a geometry-optimized Sm2Mo2N5 structure (GGA-PBE).

Formation energy from raw total energies ... -791 meV/atom
DFT total energy ... -159.694 eV per cell

Geometry as CIF:
```
data_Sm2Mo2N5
_cell_length_a 11.547
_cell_length_b 3.894
_cell_length_c 5.995
_cell_angle_alpha 90.00
_cell_angle_beta 107.77
_cell_angle_gamma 90.00
_space_group_name_H-M_alt 'C 1 2/m 1'
_space_group_IT_number 12
loop_
_space_group_symop_operation_xyz
'x,y,z'
'-x,-y,-z'
'-x,y,-z'
'x,-y,z'
'x+1/2,y+1/2,z'
'-x+1/2,-y+1/2,-z'
'-x+1/2,y+1/2,-z'
'x+1/2,-y+1/2,z'
loop_
_atom_site_label
_atom_site_fract_x
_atom_site_fract_y
_atom_site_fract_z
_atom_site_occupancy
Sm1 0.116 0.000 0.306 1
Mo1 0.139 0.500 0.853 1
N1 0.000 0.500 0.000 1
N2 0.154 0.500 0.551 1
N3 0.180 0.000 0.963 1
```



6.
Entry from Alexandria via LeMat-Bulk: a geometry-optimized ReTe2Ir structure (GGA-PBE).

Polymorph energy (0 for the lowest one) ... 19.8 meV/atom
Formation energy from raw total energies ... 241 meV/atom
DFT total energy ... -26.628 eV per cell

Geometry as CIF:
```
data_ReTe2Ir
_cell_length_a 2.885
_cell_length_b 3.708
_cell_length_c 8.742
_cell_angle_alpha 90.00
_cell_angle_beta 90.71
_cell_angle_gamma 90.00
_space_group_name_H-M_alt 'P 1 m 1'
_space_group_IT_number 6
loop_
_space_group_symop_operation_xyz
'x,y,z'
'x,-y,z'
loop_
_atom_site_label
_atom_site_fract_x
_atom_site_fract_y
_atom_site_fract_z
_atom_site_occupancy
Re1 0.000 0.000 0.000 1
Te1 0.514 0.000 0.367 1
Te2 0.992 0.500 0.769 1
Ir1 0.506 0.500 0.144 1
```



7.
Entry from Alexandria via LeMat-Bulk: a geometry-optimized CaUP2 structure (GGA-PBE).

Polymorph energy (0 for the lowest one) ... 29.0 meV/atom
DFT total energy ... -113.001 eV per cell
Formation energy ... -4.1 eV per formula unit

Geometry as CIF:
```
data_CaUP2
_cell_length_a 5.654
_cell_length_b 5.654
_cell_length_c 11.529
_cell_angle_alpha 90.00
_cell_angle_beta 90.00
_cell_angle_gamma 90.00
_space_group_name_H-M_alt 'I 41/a m d'
_space_group_IT_number 141
loop_
_space_group_symop_operation_xyz
'x,y,z'
'-x,-y,-z'
'-y+1/4,x+3/4,z+1/4'
'y+1/4,-x+3/4,-z+1/4'
'-x+1/2,-y,z+1/2'
'x+1/2,y,-z+1/2'
'y+1/4,-x+1/4,z+3/4'
'-y+1/4,x+1/4,-z+3/4'
'x,-y,-z'
'-x,y,z'
'-y+1/4,-x+1/4,-z+3/4'
'y+1/4,x+1/4,z+3/4'
'-x+1/2,y,-z+1/2'
'x+1/2,-y,z+1/2'
'y+1/4,x+3/4,-z+1/4'
'-y+1/4,-x+3/4,z+1/4'
'x+1/2,y+1/2,z+1/2'
'-x+1/2,-y+1/2,-z+1/2'
'-y+3/4,x+1/4,z+3/4'
'y+3/4,-x+1/4,-z+3/4'
'-x,-y+1/2,z'
'x,y+1/2,-z'
'y+3/4,-x+3/4,z+1/4'
'-y+3/4,x+3/4,-z+1/4'
'x+1/2,-y+1/2,-z+1/2'
'-x+1/2,y+1/2,z+1/2'
'-y+3/4,-x+3/4,-z+1/4'
'y+3/4,x+3/4,z+1/4'
'-x,y+1/2,-z'
'x,-y+1/2,z'
'y+3/4,x+1/4,-z+3/4'
'-y+3/4,-x+1/4,z+3/4'
loop_
_atom_site_label
_atom_site_fract_x
_atom_site_fract_y
_atom_site_fract_z
_atom_site_occupancy
Ca1 0.000 0.250 0.375 1
U1 0.000 0.250 0.875 1
P1 0.000 0.250 0.112 1
```



8.
Entry from Alexandria via LeMat-Bulk: a geometry-optimized Pm2Dy2Tm5 structure (GGA-PBE).

Polymorph energy (0 for the lowest one) ... 0.0 meV/atom
DFT total energy ... -40.865 eV per cell
Formation energy ... 0.2 eV per formula unit

Geometry as CIF:
```
data_Pm2Dy2Tm5
_cell_length_a 3.529
_cell_length_b 7.920
_cell_length_c 10.574
_cell_angle_alpha 77.27
_cell_angle_beta 89.93
_cell_angle_gamma 77.16
_space_group_name_H-M_alt 'P -1'
_space_group_IT_number 2
loop_
_space_group_symop_operation_xyz
'x,y,z'
'-x,-y,-z'
loop_
_atom_site_label
_atom_site_fract_x
_atom_site_fract_y
_atom_site_fract_z
_atom_site_occupancy
Pm1 0.165 0.169 0.387 1
Dy1 0.498 0.503 0.165 1
Tm1 0.166 0.166 0.054 1
Tm2 0.168 0.167 0.724 1
Tm3 0.500 0.500 0.500 1
```



9.
Entry from Alexandria via LeMat-Bulk: a geometry-optimized CsSr3Sn structure (GGA-PBE).

Polymorph energy (0 for the lowest one) ... 0.0 meV/atom
DFT total energy ... -10.722 eV per cell
Formation energy ... -0.8 eV per formula unit

Geometry as CIF:
```
data_CsSr3Sn
_cell_length_a 6.619
_cell_length_b 6.619
_cell_length_c 6.619
_cell_angle_alpha 90.00
_cell_angle_beta 90.00
_cell_angle_gamma 90.00
_space_group_name_H-M_alt 'P m -3 m'
_space_group_IT_number 221
_space_group_name_Hall '-P 4 2 3'
loop_
_atom_site_label
_atom_site_fract_x
_atom_site_fract_y
_atom_site_fract_z
_atom_site_occupancy
Cs1 0.000 0.000 0.000 1
Sr1 0.000 0.500 0.500 1
Sn1 0.500 0.500 0.500 1
```



10.
Entry from Alexandria via LeMat-Bulk: a geometry-optimized Ba4TlHg2Au structure (GGA-PBE).

DFT total energy ... -54.669 eV per cell
Formation energy ... -4.3 eV per formula unit

Geometry as CIF:
```
data_Ba4TlHg2Au
_cell_length_a 5.9225
_cell_length_b 5.9225
_cell_length_c 28.9888
_cell_angle_alpha 90.00
_cell_angle_beta 90.00
_cell_angle_gamma 120.00
_space_group_name_H-M_alt 'R -3 m'
_space_group_IT_number 166
_space_group_name_Hall '-R 3 2"'
loop_
_atom_site_label
_atom_site_fract_x
_atom_site_fract_y
_atom_site_fract_z
_atom_site_occupancy
Ba1 0.0000 0.0000 0.1204 1
Ba2 0.0000 0.0000 0.3719 1
Tl1 0.0000 0.0000 0.5000 1
Hg1 0.0000 0.0000 0.2450 1
Au1 0.0000 0.0000 0.0000 1
```



11.
Entry from Alexandria via LeMat-Bulk: a geometry-optimized SiNi2Ir structure (GGA-PBE).

Formation energy from raw total energies ... -294 meV/atom
DFT total energy ... -27.025 eV per cell

Geometry as CIF:
```
data_SiNi2Ir
_cell_length_a 2.915
_cell_length_b 2.915
_cell_length_c 5.622
_cell_angle_alpha 90.00
_cell_angle_beta 90.00
_cell_angle_gamma 90.00
_space_group_name_H-M_alt 'P 4 m m'
_space_group_IT_number 99
loop_
_space_group_symop_operation_xyz
'x,y,z'
'-y,x,z'
'-x,-y,z'
'y,-x,z'
'-x,y,z'
'y,x,z'
'x,-y,z'
'-y,-x,z'
loop_
_atom_site_label
_atom_site_fract_x
_atom_site_fract_y
_atom_site_fract_z
_atom_site_occupancy
Si1 0.000 0.000 0.000 1
Ni1 0.000 0.000 0.549 1
Ni2 0.500 0.500 0.787 1
Ir1 0.500 0.500 0.259 1
```



12.
Entry from Alexandria via LeMat-Bulk: a geometry-optimized In2Re structure (GGA-PBE).

DFT total energy ... -30.435 eV per cell
Formation energy ... 2.7 eV per formula unit

Geometry as CIF:
```
data_In2Re
_cell_length_a 4.8619
_cell_length_b 4.8619
_cell_length_c 5.8071
_cell_angle_alpha 90.00
_cell_angle_beta 90.00
_cell_angle_gamma 120.00
_space_group_name_H-M_alt 'P 63/m m c'
_space_group_IT_number 194
_space_group_name_Hall '-P 6c 2c'
loop_
_atom_site_label
_atom_site_fract_x
_atom_site_fract_y
_atom_site_fract_z
_atom_site_occupancy
In1 0.0000 0.0000 0.0000 1
In2 0.3333 0.6667 0.2500 1
Re1 0.3333 0.6667 0.7500 1
```